1.
PBE MgMo, optimized geometry; distance to the lowest polymorph of the same formula = 0.229 eV/atom; space group = No. 31; density of states at the Fermi level = 0.697 states/eV/atom; magnetization = 0.00 μB per formula unit
1.0
14.6984 0.0000 0.0000
0.0000 2.7460 0.0000
0.0000 0.0000 5.2755
Mg Mo
6 6
direct
0.0000 0.1726 0.0000 Mg
0.1717 0.9910 0.7784 Mg
0.3283 0.0090 0.2784 Mg
0.5000 0.8274 0.5000 Mg
0.6717 0.0090 0.2784 Mg
0.8283 0.9910 0.7784 Mg
0.0000 0.7003 0.4858 Mo
0.1528 0.4822 0.2926 Mo
0.3472 0.5178 0.7926 Mo
0.5000 0.2997 0.9858 Mo
0.6528 0.5178 0.7926 Mo
0.8472 0.4822 0.2926 Mo

2.
PBE MgMo, optimized geometry; distance to the lowest polymorph of the same formula = 0.362 eV/atom; space group = No. 176; density of states at the Fermi level = 0.615 states/eV/atom; magnetization = 0.00 μB per formula unit
1.0
9.8556 0.0000 0.0000
-4.9278 8.5352 0.0000
0.0000 0.0000 2.6761
Mg Mo
6 6
direct
0.0580 0.2968 0.2500 Mg
0.2389 0.9420 0.2500 Mg
0.2968 0.2389 0.7500 Mg
0.7032 0.7611 0.2500 Mg
0.7611 0.0580 0.7500 Mg
0.9420 0.7032 0.7500 Mg
0.1534 0.6153 0.2500 Mo
0.3847 0.5381 0.2500 Mo
0.4619 0.8466 0.2500 Mo
0.5381 0.1534 0.7500 Mo
0.6153 0.4619 0.7500 Mo
0.8466 0.3847 0.7500 Mo

3.
PBE MgMo, optimized geometry; distance to the lowest polymorph of the same formula = 2.368 eV/atom; space group = No. 216; density of states at the Fermi level = 0.581 states/eV/atom; magnetization = 4.19 μB per formula unit
1.0
0.0000 3.2397 3.2397
3.2397 0.0000 3.2397
3.2397 3.2397 0.0000
Mg Mo
1 1
direct
0.0000 0.0000 0.0000 Mg
0.7500 0.7500 0.7500 Mo

4.
PBE Mg7Mo, optimized geometry; space group = No. 187; density of states at the Fermi level = 0.601 states/eV/atom; magnetization = 1.07 μB per formula unit; E_tot = -20.4 eV for the cell shown
1.0
6.2300 0.0000 0.0000
-3.1150 5.3953 0.0000
0.0000 0.0000 4.9289
Mg Mo
7 1
direct
0.0000 0.0000 0.0000 Mg
0.1679 0.3357 0.5000 Mg
0.1679 0.8321 0.5000 Mg
0.5096 0.0192 0.0000 Mg
0.5096 0.4904 0.0000 Mg
0.6643 0.8321 0.5000 Mg
0.9808 0.4904 0.0000 Mg
0.6667 0.3333 0.5000 Mo

5.
PBE MgMo, optimized geometry; distance to the lowest polymorph of the same formula = 0.916 eV/atom; space group = No. 194; density of states at the Fermi level = 1.374 states/eV/atom; magnetization = 0.00 μB per formula unit
1.0
4.7662 0.0000 0.0000
-2.3831 4.1276 0.0000
0.0000 0.0000 4.5929
Mg Mo
2 2
direct
0.3333 0.6667 0.2500 Mg
0.6667 0.3333 0.7500 Mg
0.0000 0.0000 0.0000 Mo
0.0000 0.0000 0.5000 Mo

6.
PBE MgMo, optimized geometry; distance to the lowest polymorph of the same formula = 0.002 eV/atom; space group = No. 129; density of states at the Fermi level = 1.067 states/eV/atom; magnetization = 0.00 μB per formula unit
1.0
3.2809 0.0000 0.0000
0.0000 3.2809 0.0000
0.0000 0.0000 6.8628
Mg Mo
2 2
direct
0.2500 0.2500 0.1446 Mg
0.7500 0.7500 0.8554 Mg
0.2500 0.2500 0.5857 Mo
0.7500 0.7500 0.4143 Mo

7.
PBE MgMo3, optimized geometry; distance to the lowest polymorph of the same formula = 0.196 eV/atom; space group = No. 59; density of states at the Fermi level = 0.889 states/eV/atom; magnetization = 0.00 μB per formula unit
1.0
5.4298 0.0000 0.0000
0.0000 9.0608 0.0000
0.0000 0.0000 2.6737
Mg Mo
2 6
direct
0.2500 0.2500 0.0686 Mg
0.7500 0.7500 0.9314 Mg
0.0000 0.0000 0.5000 Mo
0.0000 0.5000 0.5000 Mo
0.2500 0.7500 0.1843 Mo
0.5000 0.0000 0.5000 Mo
0.5000 0.5000 0.5000 Mo
0.7500 0.2500 0.8157 Mo

8.
PBE MgMo, optimized geometry; distance to the lowest polymorph of the same formula = 0.200 eV/atom; space group = No. 83; density of states at the Fermi level = 0.479 states/eV/atom; magnetization = 0.00 μB per formula unit
1.0
8.4451 0.0000 0.0000
0.0000 8.4451 0.0000
0.0000 0.0000 4.5907
Mg Mo
8 8
direct
0.0606 0.6604 0.0000 Mg
0.1193 0.2337 0.5000 Mg
0.2337 0.8807 0.5000 Mg
0.3396 0.0606 0.0000 Mg
0.6604 0.9394 0.0000 Mg
0.7663 0.1193 0.5000 Mg
0.8807 0.7663 0.5000 Mg
0.9394 0.3396 0.0000 Mg
0.2836 0.5539 0.5000 Mo
0.3055 0.3897 0.0000 Mo
0.3897 0.6945 0.0000 Mo
0.4461 0.2836 0.5000 Mo
0.5539 0.7164 0.5000 Mo
0.6103 0.3055 0.0000 Mo
0.6945 0.6103 0.0000 Mo
0.7164 0.4461 0.5000 Mo

9.
PBE Mg3Mo4, optimized geometry; space group = No. 139; density of states at the Fermi level = 1.018 states/eV/atom; magnetization = 0.00 μB per formula unit; E_tot = -46.6 eV for the cell shown
1.0
-1.6405 1.6405 11.7285
1.6405 -1.6405 11.7285
1.6405 1.6405 -11.7285
Mg Mo
3 4
direct
0.0000 0.0000 0.0000 Mg
0.2928 0.2928 0.0000 Mg
0.7072 0.7072 0.0000 Mg
0.1277 0.1277 0.0000 Mo
0.4226 0.4226 0.0000 Mo
0.5774 0.5774 0.0000 Mo
0.8723 0.8723 0.0000 Mo

10.
PBE MgMo, optimized geometry; distance to the lowest polymorph of the same formula = 0.135 eV/atom; space group = No. 227; density of states at the Fermi level = 0.727 states/eV/atom; magnetization = 0.00 μB per formula unit
1.0
0.0000 3.2337 3.2337
3.2337 0.0000 3.2337
3.2337 3.2337 0.0000
Mg Mo
2 2
direct
0.1250 0.1250 0.1250 Mg
0.8750 0.8750 0.8750 Mg
0.3750 0.3750 0.3750 Mo
0.6250 0.6250 0.6250 Mo

11.
PBE MgMo, optimized geometry; distance to the lowest polymorph of the same formula = 0.141 eV/atom; space group = No. 65; density of states at the Fermi level = 0.665 states/eV/atom; magnetization = 0.00 μB per formula unit
1.0
1.7419 -2.0881 0.0000
1.7419 2.0881 0.0000
0.0000 0.0000 4.6795
Mg Mo
1 1
direct
0.0000 0.0000 0.0000 Mg
0.5000 0.5000 0.5000 Mo

12.
PBE MgMo, optimized geometry; distance to the lowest polymorph of the same formula = 0.157 eV/atom; space group = No. 123; density of states at the Fermi level = 0.588 states/eV/atom; magnetization = 0.00 μB per formula unit
1.0
2.7115 0.0000 0.0000
0.0000 2.7115 0.0000
0.0000 0.0000 4.6398
Mg Mo
1 1
direct
0.0000 0.0000 0.0000 Mg
0.5000 0.5000 0.5000 Mo